[1]
VASP calculation (GGA-PBE) on a relaxed structure of Pm2DyHo4Er2.

Lattice parameters (Å, degrees): 6.7788 9.8275 6.5951 121.25 126.89 59.21
Closest atoms and distances in Å follow each position.
Sites, in units of the cell vectors:
Er: 0.1784 0.5556 0.9642  5 Ho 3.41-3.70, 2 Er 3.45-3.69, 4 Pm 3.45-3.52, 1 Dy 3.80
Ho: 0.3819 0.2385 0.4936  1 Dy 3.31, 3 Er 3.41-3.51, 2 Ho 3.42-3.43, 3 Pm 3.45-3.70
Ho: 0.6181 0.7615 0.5064  1 Dy 3.31, 3 Er 3.41-3.51, 2 Ho 3.42-3.43, 3 Pm 3.45-3.70
Pm: 0.7297 0.3415 0.3969  5 Ho 3.38-3.71, 1 Dy 3.44, 4 Er 3.45-3.52, 1 Pm 3.47
Ho: 0.2596 0.1140 0.7975  3 Ho 3.33-3.43, 2 Pm 3.38-3.71, 2 Er 3.50-3.70, 1 Dy 3.54
Ho: 0.7404 0.8860 0.2025  3 Ho 3.33-3.43, 2 Pm 3.38-3.71, 2 Er 3.50-3.70, 1 Dy 3.54
Dy: 0.0000 0.0000 0.0000  4 Ho 3.31-3.54, 2 Pm 3.44
Er: 0.8216 0.4444 0.0358  5 Ho 3.41-3.70, 2 Er 3.45-3.69, 4 Pm 3.45-3.52, 1 Dy 3.80
Pm: 0.2703 0.6585 0.6031  5 Ho 3.38-3.71, 1 Dy 3.44, 4 Er 3.45-3.52, 1 Pm 3.47

## Properties
- density of states at the Fermi level (states/eV/cell) = 14.533
- SG = No. 2
- total DFT energy (no corrections) (eV/atom) = -4.528


[2]
VASP calculation (GGA-PBE) on a relaxed structure of PmDy2Ho6Er3.

Lattice parameters (Å, degrees): 6.1145 6.1145 11.7042 94.98 94.98 119.94
Closest atoms and distances in Å follow each position.
Sites, in units of the cell vectors:
Pm: 0.0000 0.0000 0.0000  6 Dy 3.53, 6 Ho 3.55
Ho: 0.2492 0.2492 0.7481  3 Er 3.51, 6 Ho 3.53-3.54, 1 Pm 3.55, 2 Dy 3.55
Er: 0.8331 0.1669 0.5000  6 Ho 3.51, 6 Er 3.53
Er: 0.1669 0.8331 0.5000  6 Ho 3.51, 6 Er 3.53
Dy: 0.3334 0.6666 0.0000  3 Dy 3.53, 3 Pm 3.53, 6 Ho 3.54-3.55
Er: 0.5000 0.5000 0.5000  6 Ho 3.51, 6 Er 3.53
Ho: 0.9153 0.5816 0.7480  3 Er 3.51, 6 Ho 3.53-3.54, 2 Dy 3.54-3.55, 1 Pm 3.55
Ho: 0.0847 0.4184 0.2520  3 Er 3.51, 6 Ho 3.53-3.54, 2 Dy 3.54-3.55, 1 Pm 3.55
Ho: 0.4184 0.0847 0.2520  3 Er 3.51, 6 Ho 3.53-3.54, 2 Dy 3.54-3.55, 1 Pm 3.55
Ho: 0.7508 0.7508 0.2519  3 Er 3.51, 6 Ho 3.53-3.54, 1 Pm 3.55, 2 Dy 3.55
Ho: 0.5816 0.9153 0.7480  3 Er 3.51, 6 Ho 3.53-3.54, 2 Dy 3.54-3.55, 1 Pm 3.55
Dy: 0.6666 0.3334 0.0000  3 Dy 3.53, 3 Pm 3.53, 6 Ho 3.54-3.55

## Properties
- density of states at the Fermi level (states/eV/cell) = 15.951
- SG = No. 12
- total DFT energy (no corrections) (eV/atom) = -4.573


[3]
VASP calculation (GGA-PBE) on a relaxed structure of Pm3DyHo6Er2.

Lattice parameters (Å, degrees): 6.1567 6.1567 11.7559 94.99 94.99 119.97
Closest atoms and distances in Å follow each position.
Sites, in units of the cell vectors:
Er: 0.3333 0.6667 0.0000  6 Ho 3.51-3.52, 3 Dy 3.55-3.56, 3 Er 3.55-3.56
Ho: 0.0824 0.4159 0.2465  2 Er 3.51-3.52, 1 Dy 3.52, 6 Ho 3.55-3.56, 3 Pm 3.58
Pm: 0.5000 0.5000 0.5000  6 Pm 3.55-3.56, 6 Ho 3.58
Pm: 0.1667 0.8333 0.5000  6 Pm 3.55-3.56, 6 Ho 3.58
Ho: 0.2511 0.2511 0.7536  1 Dy 3.51, 2 Er 3.52, 6 Ho 3.55-3.56, 3 Pm 3.58
Ho: 0.4159 0.0824 0.2465  2 Er 3.51-3.52, 1 Dy 3.52, 6 Ho 3.55-3.56, 3 Pm 3.58
Ho: 0.5841 0.9176 0.7535  2 Er 3.51-3.52, 1 Dy 3.52, 6 Ho 3.55-3.56, 3 Pm 3.58
Ho: 0.7489 0.7489 0.2464  1 Dy 3.51, 2 Er 3.52, 6 Ho 3.55-3.56, 3 Pm 3.58
Ho: 0.9176 0.5841 0.7535  2 Er 3.51-3.52, 1 Dy 3.52, 6 Ho 3.55-3.56, 3 Pm 3.58
Pm: 0.8333 0.1667 0.5000  6 Pm 3.55-3.56, 6 Ho 3.58
Dy: 0.0000 0.0000 0.0000  6 Ho 3.51-3.52, 6 Er 3.55-3.56
Er: 0.6667 0.3333 0.0000  6 Ho 3.51-3.52, 3 Dy 3.55-3.56, 3 Er 3.55-3.56

## Properties
- density of states at the Fermi level (states/eV/cell) = 15.789
- SG = No. 12
- total DFT energy (no corrections) (eV/atom) = -4.602


[4]
VASP calculation (GGA-PBE) on a relaxed structure of Pm2DyHo2Er.

Lattice parameters (Å, degrees): 5.6184 9.7147 7.0328 90.00 90.00 90.00
Closest atoms and distances in Å follow each position.
Sites, in units of the cell vectors:
Pm: 0.5000 0.1672 0.2496  5 Ho 3.24-3.52
Dy: 0.5000 0.5000 0.0000  2 Er 3.52, 6 Pm 3.68-3.69, 6 Ho 3.69
Er: 0.0000 0.0000 0.0000  2 Dy 3.52, 6 Pm 3.68-3.69, 6 Ho 3.69
Ho: 0.5000 0.1662 0.7502  5 Pm 3.24-3.52
Ho: 0.0000 0.3338 0.2502  5 Pm 3.24-3.52
Ho: 0.0000 0.6662 0.7498  5 Pm 3.24-3.52
Dy: 0.0000 0.0000 0.5000  2 Er 3.52, 6 Pm 3.68-3.69, 6 Ho 3.69
Pm: 0.5000 0.8328 0.7504  5 Ho 3.24-3.52
Pm: 0.0000 0.6672 0.2504  5 Ho 3.24-3.52
Er: 0.5000 0.5000 0.5000  2 Dy 3.52, 6 Pm 3.68-3.69, 6 Ho 3.69
Ho: 0.5000 0.8338 0.2498  5 Pm 3.24-3.52
Pm: 0.0000 0.3328 0.7496  5 Ho 3.24-3.52

## Properties
- density of states at the Fermi level (states/eV/cell) = 22.716
- SG = No. 58
- total DFT energy (no corrections) (eV/atom) = -4.571


[5]
VASP calculation (GGA-PBE) on a relaxed structure of Pm2Dy6HoEr.

Lattice parameters (Å, degrees): 9.6530 8.7590 8.7590 118.14 94.51 94.51
Closest atoms and distances in Å follow each position.
Sites, in units of the cell vectors:
Dy: 0.8128 0.4253 0.9796  2 Dy 3.23-3.56, 1 Pm 3.38, 1 Er 3.44, 1 Ho 3.57
Dy: 0.1198 0.7083 0.4978  4 Dy 3.23-3.52, 3 Pm 3.24-3.43, 2 Er 3.41-3.55
Dy: 0.6198 0.4978 0.7083  4 Dy 3.23-3.52, 3 Pm 3.24-3.43, 2 Er 3.41-3.55
Er: 0.2500 0.4073 0.5927  8 Dy 3.41-3.77, 2 Pm 3.54
Dy: 0.6872 0.0204 0.5747  2 Dy 3.23-3.56, 1 Pm 3.38, 1 Er 3.44, 1 Ho 3.57
Dy: 0.4432 0.2532 0.8749  7 Dy 3.39-3.73, 1 Pm 3.49, 1 Ho 3.64, 1 Er 3.77
Ho: 0.7500 0.0190 0.9810  4 Pm 3.35-3.38, 4 Dy 3.57-3.64
Dy: 0.3802 0.5022 0.2917  4 Dy 3.23-3.52, 3 Pm 3.24-3.43, 2 Er 3.41-3.55
Dy: 0.5568 0.7468 0.1251  7 Dy 3.39-3.73, 1 Pm 3.49, 1 Ho 3.64, 1 Er 3.77
Pm: 0.9576 0.7019 0.8056  5 Dy 3.24-3.49, 2 Ho 3.35-3.38, 1 Er 3.54
Dy: 0.3128 0.9796 0.4253  2 Dy 3.23-3.56, 1 Pm 3.38, 1 Er 3.44, 1 Ho 3.57
Dy: 0.8802 0.2917 0.5022  4 Dy 3.23-3.52, 3 Pm 3.24-3.43, 2 Er 3.41-3.55
Dy: 0.1872 0.5747 0.0204  2 Dy 3.23-3.56, 1 Pm 3.38, 1 Er 3.44, 1 Ho 3.57
Dy: 0.0568 0.1251 0.7468  7 Dy 3.39-3.73, 1 Pm 3.49, 1 Ho 3.64, 1 Er 3.77
Dy: 0.9432 0.8749 0.2532  7 Dy 3.39-3.73, 1 Pm 3.49, 1 Ho 3.64, 1 Er 3.77
Pm: 0.0424 0.2981 0.1944  5 Dy 3.24-3.49, 2 Ho 3.35-3.38, 1 Er 3.54
Pm: 0.5424 0.1944 0.2981  5 Dy 3.24-3.49, 2 Ho 3.35-3.38, 1 Er 3.54
Er: 0.7500 0.5927 0.4073  8 Dy 3.41-3.77, 2 Pm 3.54
Pm: 0.4576 0.8056 0.7019  5 Dy 3.24-3.49, 2 Ho 3.35-3.38, 1 Er 3.54
Ho: 0.2500 0.9810 0.0190  4 Pm 3.35-3.38, 4 Dy 3.57-3.64

## Properties
- density of states at the Fermi level (states/eV/cell) = 27.061
- SG = No. 15
- total DFT energy (no corrections) (eV/atom) = -4.509


[6]
VASP calculation (GGA-PBE) on a relaxed structure of Pm2Dy5HoEr.

Lattice parameters (Å, degrees): 8.5694 8.5694 9.9479 115.51 115.51 90.00
Closest atoms and distances in Å follow each position.
Sites, in units of the cell vectors:
Er: 0.2500 0.7500 0.5000  4 Dy 3.11
Dy: 0.0724 0.5724 0.7188  1 Pm 3.02, 1 Er 3.11
Pm: 0.6181 0.1181 0.0000  1 Pm 2.86, 2 Dy 3.02
Dy: 0.4276 0.3536 0.2812  1 Pm 3.02, 1 Er 3.11
Dy: 0.5000 0.5000 0.0000  4 Pm 3.43, 8 Dy 3.78
Er: 0.7500 0.2500 0.5000  4 Dy 3.11
Dy: 0.1464 0.0724 0.7188  1 Pm 3.02, 1 Er 3.11
Pm: 0.1181 0.3819 0.0000  1 Pm 2.86, 2 Dy 3.02
Dy: 0.3536 0.8536 0.2812  1 Pm 3.02, 1 Er 3.11
Dy: 0.5724 0.6464 0.7188  1 Pm 3.02, 1 Er 3.11
Dy: 0.6464 0.1464 0.7188  1 Pm 3.02, 1 Er 3.11
Dy: 0.9276 0.4276 0.2812  1 Pm 3.02, 1 Er 3.11
Dy: 0.0000 0.0000 0.0000  4 Pm 3.43, 8 Dy 3.78
Dy: 0.8536 0.9276 0.2812  1 Pm 3.02, 1 Er 3.11
Ho: 0.2500 0.2500 0.5000  8 Dy 3.52
Pm: 0.8819 0.6181 0.0000  1 Pm 2.86, 2 Dy 3.02
Ho: 0.7500 0.7500 0.5000  8 Dy 3.52
Pm: 0.3819 0.8819 0.0000  1 Pm 2.86, 2 Dy 3.02

## Properties
- density of states at the Fermi level (states/eV/cell) = 24.404
- SG = No. 140
- total DFT energy (no corrections) (eV/atom) = -4.348


[7]
VASP calculation (GGA-PBE) on a relaxed structure of PmDy2Ho6Er.

Lattice parameters (Å, degrees): 9.4977 8.7403 8.7403 117.83 93.75 93.75
Closest atoms and distances in Å follow each position.
Sites, in units of the cell vectors:
Pm: 0.2500 0.9757 0.0243  4 Dy 3.37-3.40, 4 Ho 3.56-3.67
Ho: 0.0570 0.1242 0.7496  7 Ho 3.38-3.70, 1 Dy 3.49, 1 Pm 3.67
Ho: 0.8814 0.2915 0.5077  4 Ho 3.20-3.48, 3 Dy 3.25-3.40, 2 Er 3.39-3.51
Ho: 0.3814 0.5077 0.2915  4 Ho 3.20-3.48, 3 Dy 3.25-3.40, 2 Er 3.39-3.51
Ho: 0.6186 0.4923 0.7085  4 Ho 3.20-3.48, 3 Dy 3.25-3.40, 2 Er 3.39-3.51
Ho: 0.6838 0.0180 0.5674  3 Ho 3.20-3.56, 2 Dy 3.37-3.58, 1 Er 3.44, 1 Pm 3.56
Dy: 0.5457 0.1984 0.3036  6 Ho 3.25-3.58, 2 Pm 3.37-3.40, 1 Er 3.51
Ho: 0.5570 0.7496 0.1242  7 Ho 3.38-3.70, 1 Dy 3.49, 1 Pm 3.67
Er: 0.2500 0.4094 0.5906  6 Ho 3.39-3.51, 2 Dy 3.51
Dy: 0.0457 0.3036 0.1984  6 Ho 3.25-3.58, 2 Pm 3.37-3.40, 1 Er 3.51
Ho: 0.1838 0.5674 0.0180  3 Ho 3.20-3.56, 2 Dy 3.37-3.58, 1 Er 3.44, 1 Pm 3.56
Dy: 0.9543 0.6964 0.8016  6 Ho 3.25-3.58, 2 Pm 3.37-3.40, 1 Er 3.51
Dy: 0.4543 0.8016 0.6964  6 Ho 3.25-3.58, 2 Pm 3.37-3.40, 1 Er 3.51
Ho: 0.1186 0.7085 0.4923  4 Ho 3.20-3.48, 3 Dy 3.25-3.40, 2 Er 3.39-3.51
Ho: 0.9430 0.8758 0.2504  7 Ho 3.38-3.70, 1 Dy 3.49, 1 Pm 3.67
Er: 0.7500 0.5906 0.4094  6 Ho 3.39-3.51, 2 Dy 3.51
Pm: 0.7500 0.0243 0.9757  4 Dy 3.37-3.40, 4 Ho 3.56-3.67
Ho: 0.4430 0.2504 0.8758  7 Ho 3.38-3.70, 1 Dy 3.49, 1 Pm 3.67
Ho: 0.3162 0.9820 0.4326  3 Ho 3.20-3.56, 2 Dy 3.37-3.58, 1 Er 3.44, 1 Pm 3.56
Ho: 0.8162 0.4326 0.9820  3 Ho 3.20-3.56, 2 Dy 3.37-3.58, 1 Er 3.44, 1 Pm 3.56

## Properties
- density of states at the Fermi level (states/eV/cell) = 28.268
- SG = No. 15
- total DFT energy (no corrections) (eV/atom) = -4.478


[8]
VASP calculation (GGA-PBE) on a relaxed structure of Pm2Dy3HoEr6.

Lattice parameters (Å, degrees): 6.1310 6.1310 11.7070 94.99 94.99 119.96
Closest atoms and distances in Å follow each position.
Sites, in units of the cell vectors:
Pm: 0.6666 0.3334 0.0000  3 Pm 3.54, 3 Ho 3.54, 6 Er 3.55
Pm: 0.3334 0.6666 0.0000  3 Pm 3.54, 3 Ho 3.54, 6 Er 3.55
Ho: 0.0000 0.0000 0.0000  6 Pm 3.54, 6 Er 3.55
Dy: 0.5000 0.5000 0.5000  6 Er 3.52, 6 Dy 3.54
Er: 0.4175 0.0846 0.2517  3 Dy 3.52, 6 Er 3.53-3.54, 2 Pm 3.55, 1 Ho 3.55
Er: 0.9154 0.5825 0.7483  3 Dy 3.52, 6 Er 3.53-3.54, 2 Pm 3.55, 1 Ho 3.55
Er: 0.0846 0.4175 0.2517  3 Dy 3.52, 6 Er 3.53-3.54, 2 Pm 3.55, 1 Ho 3.55
Dy: 0.1665 0.8335 0.5000  6 Er 3.51-3.52, 6 Dy 3.54
Er: 0.2480 0.2480 0.7480  3 Dy 3.51-3.52, 6 Er 3.54, 1 Ho 3.55, 2 Pm 3.55
Er: 0.7520 0.7520 0.2520  3 Dy 3.51-3.52, 6 Er 3.54, 1 Ho 3.55, 2 Pm 3.55
Dy: 0.8335 0.1665 0.5000  6 Er 3.51-3.52, 6 Dy 3.54
Er: 0.5825 0.9154 0.7483  3 Dy 3.52, 6 Er 3.53-3.54, 2 Pm 3.55, 1 Ho 3.55

## Properties
- density of states at the Fermi level (states/eV/cell) = 15.480
- SG = No. 12
- total DFT energy (no corrections) (eV/atom) = -4.587


no.,formation energy from the elements (kJ/mol of atoms)
1,8.42
2,1.84
3,1.81
4,6.38
5,11.23
6,26.99
7,11.59
8,1.80